Record 1
Computed, not measured: an optimized crystal structure of Ge5As2Pd12 at the PBE-GGA level of DFT.

Properties
Space group ... C2/m
Energy of formation ... -0.3292 eV/atom
Calculated volume ... 17.09 Å³/atom

The structure in POSCAR format:
```
Ge5As2Pd12
1.0
5.5392 0.0000 0.0000
-2.7696 7.2306 0.0448
0.0000 -2.5243 8.0918
Pd Ge As
12 5 2
Direct
0.5053 0.0106 0.3378
0.5648 0.6275 0.9013
0.4947 0.9894 0.6622
0.0867 0.6750 0.4155
0.9133 0.3250 0.5845
0.9269 0.8539 0.7303
0.0626 0.6275 0.9013
0.0731 0.1461 0.2697
0.4352 0.3725 0.0987
0.9374 0.3725 0.0987
0.5883 0.6750 0.4155
0.4117 0.3250 0.5845
0.3384 0.6768 0.1601
0.6616 0.3232 0.8399
0.3187 0.6374 0.6563
0.6813 0.3626 0.3437
0.0000 0.0000 0.5000
0.7298 0.0000 0.0000
0.2702 0.0000 0.0000
```

Record 2
Computed, not measured: an optimized crystal structure of ZnCo2BiN at the PBE-GGA level of DFT.

Properties
Space group ... P4/mmm
Formation energy without anion corrections ... 0.414 eV/atom
Calculated volume ... 14.23 Å³/atom

The structure in POSCAR format:
```
ZnCo2BiN
1.0
-1.3384 3.6372 -0.1278
-1.6937 -0.7760 -4.3497
-3.3644 -1.1845 1.5214
Co Bi Zn N
2 1 1 1
Direct
0.0000 0.0000 0.5000
0.5000 0.0000 0.0000
0.5000 0.5000 0.5000
0.0000 0.5000 0.0000
0.0000 0.0000 0.0000
```

Record 3
Computed, not measured: an optimized crystal structure of FeGeN2 at the PBE-GGA level of DFT.

Properties
Space group ... P2_1/c
ΔE to the lowest computed polymorph ... 0.000 eV/atom
Formation energy without anion corrections ... 0.168 eV/atom
Calculated volume ... 12.35 Å³/atom

The structure in POSCAR format:
```
FeGeN2
1.0
6.4294 0.0000 0.0000
0.0000 5.4692 0.0098
0.0000 0.0145 5.6209
Ge N Fe
4 8 4
Direct
0.8621 0.9140 0.1621
0.6379 0.4140 0.1621
0.3621 0.5860 0.8379
0.1379 0.0860 0.8379
0.1445 0.4007 0.7093
0.6445 0.0993 0.2907
0.3774 0.5787 0.1815
0.8774 0.9213 0.8185
0.6226 0.4213 0.8185
0.3555 0.9007 0.7093
0.1226 0.0787 0.1815
0.8555 0.5993 0.2907
0.6337 0.0892 0.6589
0.1337 0.4108 0.3411
0.8663 0.5892 0.6589
0.3663 0.9108 0.3411
```

Record 4
Computed, not measured: an optimized crystal structure of Pm2Pr5Sm6 at the PBE-GGA level of DFT.

Properties
Space group ... Pbam
Energy of formation ... 0.0880 eV/atom
Calculated volume ... 35.27 Å³/atom

The structure in POSCAR format:
```
Pm2Pr5Sm6
1.0
3.6706 0.0000 0.0000
0.0000 11.9059 0.0000
0.0000 0.0000 20.9826
Sm Pm Pr
12 4 10
Direct
0.0000 0.9246 0.6354
0.0000 0.4356 0.5757
0.0000 0.9356 0.9243
0.0000 0.0754 0.3646
0.0000 0.4246 0.8646
0.5000 0.6806 0.8685
0.0000 0.0644 0.0757
0.5000 0.3194 0.1315
0.5000 0.1806 0.6315
0.0000 0.5644 0.4243
0.0000 0.5754 0.1354
0.5000 0.8194 0.3685
0.0000 0.3225 0.2824
0.0000 0.8225 0.2176
0.0000 0.6775 0.7176
0.0000 0.1775 0.7824
0.5000 0.1989 0.9433
0.5000 0.5807 0.2790
0.5000 0.5000 0.0000
0.5000 0.3011 0.4433
0.5000 0.0807 0.2210
0.5000 0.6989 0.5567
0.5000 0.4193 0.7210
0.5000 0.0000 0.5000
0.5000 0.9193 0.7790
0.5000 0.8011 0.0567
```

Record 5
Computed, not measured: an optimized crystal structure of NaMgH8Pt2 at the PBE-GGA level of DFT.

Properties
Space group ... R-3
Calculated total energy ... -0.2581 Ry per atom
Calculated volume ... 10.22 Å³/atom

The structure in POSCAR format:
```
NaMgH8Pt2
1.0
4.8816 0.0000 0.0000
2.4408 4.2276 0.0000
2.4408 1.4092 5.9434
H Na Pt Mg
8 1 2 1
Direct
0.8053 0.8053 0.5840
0.0815 0.4041 0.8100
0.5959 0.2956 0.1900
0.4041 0.7044 0.8100
0.1947 0.1947 0.4160
0.9185 0.5959 0.1900
0.7044 0.0815 0.8100
0.2956 0.9185 0.1900
0.5000 0.5000 0.5000
0.2833 0.2833 0.1502
0.7167 0.7167 0.8498
0.0000 0.0000 0.0000
```

Record 6
Computed, not measured: an optimized crystal structure of KCuAg2F8 at the PBE-GGA level of DFT.

Properties
Space group ... I-4
Formation energy without anion corrections ... -1.482 eV/atom
Calculated volume ... 14.69 Å³/atom

The structure in POSCAR format:
```
KCuAg2F8
1.0
-1.5105 -4.0502 4.0283
-1.3025 -3.8128 -4.3220
6.1587 2.2288 0.2168
F K Ag Cu
8 1 2 1
Direct
0.1606 0.7319 0.9888
0.7431 0.8394 0.0112
0.5561 0.6523 0.4750
0.8282 0.2569 0.9888
0.1773 0.4439 0.5250
0.9189 0.8227 0.4750
0.2681 0.1718 0.0112
0.3477 0.0811 0.5250
0.7500 0.2500 0.5000
0.5000 0.5000 0.0000
0.2500 0.7500 0.5000
0.0000 0.0000 0.0000
```